# 1
Computed, not measured: a geometry-optimized Be2Os2Au structure at the PBE level of DFT.

POSCAR file:
```
Be2Os2Au
1.0
6.127 0.000 0.000
0.000 6.127 0.000
0.000 0.000 3.255
Be Os Au
4 4 2
Direct
0.122 0.378 0.000
0.378 0.878 0.000
0.622 0.122 0.000
0.878 0.622 0.000
0.167 0.667 0.500
0.333 0.167 0.500
0.667 0.833 0.500
0.833 0.333 0.500
0.000 0.000 0.000
0.500 0.500 0.000
```

Results
DOS at the Fermi energy in states/eV/atom: 0.671
ΔH_f (0 K) in meV per atom: 163
Size of the total moment in μB/atom: 0.00

# 2
Computed, not measured: a geometry-optimized BP2C3 structure at the PBE level of DFT.

POSCAR file:
```
BP2C3
1.0
3.914 0.000 0.000
1.426 4.211 0.000
1.491 1.395 3.991
B P C
1 2 3
Direct
0.000 0.000 0.000
0.232 0.267 0.189
0.437 0.997 0.637
0.664 0.295 0.868
0.707 0.604 0.589
0.957 0.645 0.273
```

Results
DOS at the Fermi energy in states/eV/atom: 0.130
ΔH_f (0 K) in meV per atom: 383
Size of the total moment in μB/atom: 0.00